CoH6Se2O8 after structural relaxation. Source: Alexandria, functional PBE+U.

Unit cell a=7.1769 b=7.0890 c=8.4891 alpha=90.00 beta=116.17 gamma=90.00
Element x y z (fractional)
Co 0.0000 0.0000 0.0000
Co 0.0000 0.5000 0.5000
H 0.1107 0.2165 0.3766
H 0.1107 0.2835 0.8766
H 0.2140 0.1712 0.5811
H 0.2140 0.3288 0.0811
H 0.4986 0.9997 0.7522
H 0.4986 0.5003 0.2522
H 0.5014 0.0003 0.2478
H 0.5014 0.4997 0.7478
H 0.7860 0.6712 0.9189
H 0.7860 0.8288 0.4189
H 0.8893 0.7165 0.1234
H 0.8893 0.7835 0.6234
Se 0.3138 0.7115 0.3547
Se 0.3138 0.7885 0.8547
Se 0.6862 0.2115 0.1453
Se 0.6862 0.2885 0.6453
O 0.0690 0.6516 0.3199
O 0.0690 0.8484 0.8199
O 0.1892 0.2253 0.9958
O 0.1892 0.2747 0.4958
O 0.2758 0.5962 0.7228
O 0.2758 0.9038 0.2228
O 0.3467 0.5290 0.2161
O 0.3467 0.9710 0.7161
O 0.6533 0.0290 0.2839
O 0.6533 0.4710 0.7839
O 0.7242 0.0962 0.7772
O 0.7242 0.4038 0.2772
O 0.8108 0.7253 0.5042
O 0.8108 0.7747 0.0042
O 0.9310 0.1516 0.1801
O 0.9310 0.3484 0.6801

Summary:
Space-group type = P2_1/c (14)
Crystal system = monoclinic
Fermi-level density of states = 0.00 states/eV/cell
Energy = -5.20 eV/atom